Density functional theory data (PBE-GGA) for a relaxed LiCeDyRu crystal.

Computed properties:
uncorrected energy = -5.605 eV per atom

a b c (Å): 4.9445 4.9445 4.9445
angles (deg): 60.00 60.00 60.00
Closest atoms and distances in Å follow each position.
Fractional coordinates of all 4 atoms:
Ru 0.2500 0.2500 0.2500  4 Dy 3.03, 4 Ce 3.03
Li 0.7500 0.7500 0.7500  4 Ce 3.03, 4 Dy 3.03
Ce 0.0000 0.0000 0.0000  4 Li 3.03, 4 Ru 3.03
Dy 0.5000 0.5000 0.5000  4 Ru 3.03, 4 Li 3.03



Density functional theory data (PBE-GGA) for a relaxed Pm3Ga5Pt6 crystal.

Computed properties:
uncorrected energy = -5.636 eV per atom

a b c (Å): 4.3775 9.2487 13.1313
angles (deg): 90.00 90.00 90.00
Closest atoms and distances in Å follow each position.
Fractional coordinates of all 28 atoms:
Pm 0.0000 0.2485 0.6919  6 Pt 3.07-3.18, 8 Ga 3.12-3.36
Pm 0.5000 0.7515 0.1919  6 Pt 3.07-3.18, 8 Ga 3.12-3.36
Pm 0.5000 0.7515 0.8081  6 Pt 3.07-3.18, 8 Ga 3.12-3.36
Pm 0.0000 0.2412 0.0000  8 Pt 3.04-3.39, 2 Ga 3.14
Pm 0.5000 0.7588 0.5000  8 Pt 3.04-3.39, 2 Ga 3.14
Pm 0.0000 0.2485 0.3081  6 Pt 3.07-3.18, 8 Ga 3.12-3.36
Ga 0.0000 0.5189 0.8628  5 Pt 2.61-2.86, 1 Ga 2.78
Ga 0.0000 0.9009 0.6749  5 Pt 2.53-2.65
Ga 0.0000 0.7472 0.0000  6 Pt 2.66-2.95, 2 Ga 2.78
Ga 0.5000 0.4811 0.6372  5 Pt 2.61-2.86, 1 Ga 2.78
Ga 0.5000 0.2528 0.5000  6 Pt 2.66-2.95, 2 Ga 2.78
Ga 0.0000 0.5189 0.1372  5 Pt 2.61-2.86, 1 Ga 2.78
Ga 0.5000 0.4811 0.3628  5 Pt 2.61-2.86, 1 Ga 2.78
Ga 0.0000 0.9009 0.3251  5 Pt 2.53-2.65
Ga 0.5000 0.0991 0.8251  5 Pt 2.53-2.65
Ga 0.5000 0.0991 0.1749  5 Pt 2.53-2.65
Pt 0.0000 0.9685 0.8707  4 Ga 2.57-2.66, 2 Pt 2.77
Pt 0.5000 0.0315 0.6293  4 Ga 2.57-2.66, 2 Pt 2.77
Pt 0.5000 0.3723 0.8304  4 Ga 2.53-2.73, 1 Pt 2.82
Pt 0.5000 0.5591 0.0000  6 Ga 2.80-2.86, 2 Pt 2.82, 2 Pm 3.09
Pt 0.0000 0.4409 0.5000  6 Ga 2.80-2.86, 2 Pt 2.82, 2 Pm 3.09
Pt 0.0000 0.6277 0.6696  4 Ga 2.53-2.73, 1 Pt 2.82
Pt 0.0000 0.6277 0.3304  4 Ga 2.53-2.73, 1 Pt 2.82
Pt 0.5000 0.9617 0.0000  2 Ga 2.62, 4 Pt 2.77
Pt 0.0000 0.9685 0.1293  4 Ga 2.57-2.66, 2 Pt 2.77
Pt 0.5000 0.3723 0.1696  4 Ga 2.53-2.73, 1 Pt 2.82
Pt 0.0000 0.0383 0.5000  2 Ga 2.62, 4 Pt 2.77
Pt 0.5000 0.0315 0.3707  4 Ga 2.57-2.66, 2 Pt 2.77



Density functional theory data (PBE-GGA) for a relaxed Ac3ScTc2N6 crystal.

Computed properties:
formation energy without anion corrections = -0.851 eV/atom
uncorrected energy = -8.296 eV per atom

a b c (Å): 5.9516 5.9516 6.8091
angles (deg): 90.00 90.00 120.00
Closest atoms and distances in Å follow each position.
Fractional coordinates of all 12 atoms:
Ac 0.3333 0.6667 0.6714  9 N 2.98-3.04, 1 Tc 3.22
Ac 0.6667 0.3333 0.3286  9 N 2.98-3.04, 1 Tc 3.22
Ac 0.0000 0.0000 0.0000  6 N 2.69
Sc 0.0000 0.0000 0.5000  6 N 2.19
Tc 0.6667 0.3333 0.8021  3 N 1.85
Tc 0.3333 0.6667 0.1979  3 N 1.85
N 0.6645 0.8323 0.3028  1 Tc 1.85
N 0.1677 0.3355 0.3028  1 Tc 1.85
N 0.1677 0.8323 0.3028  1 Tc 1.85
N 0.8323 0.6645 0.6972  1 Tc 1.85
N 0.3355 0.1677 0.6972  1 Tc 1.85
N 0.8323 0.1677 0.6972  1 Tc 1.85



Density functional theory data (PBE-GGA) for a relaxed ZrPSeO2 crystal.

Computed properties:
formation energy without anion corrections = -0.379 eV/atom
uncorrected energy = -5.851 eV per atom

a b c (Å): 3.8849 3.8849 4.9736
angles (deg): 90.00 90.00 90.00
Closest atoms and distances in Å follow each position.
Fractional coordinates of all 5 atoms:
O 0.0000 0.5000 0.0000  2 Se 1.94
O 0.5000 0.0000 0.0000  2 Se 1.94
P 0.0000 0.0000 0.5000  2 Se 2.49, 4 Zr 2.75
Se 0.0000 0.0000 0.0000  4 O 1.94
Zr 0.5000 0.5000 0.5000  4 P 2.75



Density functional theory data (PBE-GGA) for a relaxed Cd2HgI4 crystal.

Computed properties:
formation energy without anion corrections = -0.446 eV/atom
uncorrected energy = -1.636 eV per atom

a b c (Å): 9.5017 9.5020 9.5109
angles (deg): 102.82 102.84 123.75
Closest atoms and distances in Å follow each position.
Fractional coordinates of all 14 atoms:
I 0.9649 0.6025 0.7681  2 Cd 2.83-2.90
I 0.4172 0.1478 0.8634  2 Cd 2.83-2.90
I 0.8343 0.1968 0.2319  2 Cd 2.83-2.90
I 0.3976 0.1673 0.3633  2 Cd 2.83-2.90
I 0.8039 0.0341 0.6367  2 Cd 2.83-2.90
I 0.2842 0.5537 0.1366  2 Cd 2.83-2.90
I 0.8527 0.7150 0.2684  2 Cd 2.83-2.90
I 0.4466 0.5842 0.7316  2 Cd 2.83-2.90
Hg 0.2500 0.7501 0.5000  8 I 3.71-4.04
Hg 0.9993 0.9992 0.0000  8 I 3.72-4.04
Cd 0.6679 0.8744 0.2927  4 I 2.83-2.90
Cd 0.5818 0.3754 0.7073  4 I 2.83-2.90
Cd 0.1244 0.4178 0.7927  4 I 2.83-2.90
Cd 0.6254 0.3318 0.2073  4 I 2.83-2.90



Density functional theory data (PBE-GGA) for a relaxed K2NaICl4 crystal.

Computed properties:
formation energy without anion corrections = -1.272 eV/atom
uncorrected energy = -2.828 eV per atom

a b c (Å): 8.6119 8.6119 9.5580
angles (deg): 117.31 117.31 90.14
Closest atoms and distances in Å follow each position.
Fractional coordinates of all 16 atoms:
K 0.5000 0.0000 0.0000  6 Cl 3.25-3.35
K 0.5000 0.0000 0.5000  6 Cl 3.25-3.35
K 0.0000 0.0000 0.5000  6 Cl 3.07-3.13
K 0.5000 0.5000 0.0000  6 Cl 3.07-3.13
Na 0.0000 0.5000 0.0000  4 Cl 2.84-2.86
Na 0.0000 0.5000 0.5000  4 Cl 2.84-2.86
I 0.5000 0.5000 0.5000  4 Cl 3.09
I 0.0000 0.0000 0.0000  4 Cl 3.09
Cl 0.2603 0.7593 0.0530  1 Na 2.86, 1 K 3.07, 1 I 3.09
Cl 0.7407 0.2397 0.4470  1 Na 2.86, 1 K 3.07, 1 I 3.09
Cl 0.2593 0.7603 0.5530  1 Na 2.86, 1 K 3.07, 1 I 3.09
Cl 0.7397 0.2407 0.9470  1 Na 2.86, 1 K 3.07, 1 I 3.09
Cl 0.8073 0.7651 0.0707  1 Na 2.84, 1 I 3.09, 2 K 3.10-3.13
Cl 0.7348 0.6927 0.4293  1 Na 2.84, 1 I 3.09, 2 K 3.10-3.13
Cl 0.2651 0.3073 0.5707  1 Na 2.84, 1 I 3.09, 2 K 3.10-3.13
Cl 0.1927 0.2349 0.9293  1 Na 2.84, 1 I 3.09, 2 K 3.10-3.13



Density functional theory data (PBE-GGA) for a relaxed Tm2Ga3Cu12Ag crystal.

Computed properties:
uncorrected energy = -3.887 eV per atom

a b c (Å): 6.5334 6.5334 6.5334
angles (deg): 85.45 85.45 85.45
Closest atoms and distances in Å follow each position.
Fractional coordinates of all 18 atoms:
Tm 0.7055 0.7055 0.7055  9 Cu 2.75-2.90, 3 Ga 3.00
Tm 0.2945 0.2945 0.2945  9 Cu 2.75-2.90, 3 Ga 3.00
Ga 0.5000 0.0000 0.0000  2 Cu 2.47
Ga 0.0000 0.5000 0.0000  2 Cu 2.47
Ga 0.0000 0.0000 0.5000  2 Cu 2.47
Cu 0.4147 0.4147 0.8670  4 Cu 2.40-2.59
Cu 0.7990 0.7990 0.2930  5 Cu 2.40-2.68, 1 Ga 2.47, 1 Ag 2.57
Cu 0.2930 0.7990 0.7990  5 Cu 2.40-2.68, 1 Ga 2.47, 1 Ag 2.57
Cu 0.8670 0.4147 0.4147  4 Cu 2.40-2.59
Cu 0.7990 0.2930 0.7990  5 Cu 2.40-2.68, 1 Ga 2.47, 1 Ag 2.57
Cu 0.4147 0.8670 0.4147  4 Cu 2.40-2.59
Cu 0.5853 0.5853 0.1330  4 Cu 2.40-2.59
Cu 0.2010 0.2010 0.7070  5 Cu 2.40-2.68, 1 Ga 2.47, 1 Ag 2.57
Cu 0.7070 0.2010 0.2010  5 Cu 2.40-2.68, 1 Ga 2.47, 1 Ag 2.57
Cu 0.1330 0.5853 0.5853  4 Cu 2.40-2.59
Cu 0.2010 0.7070 0.2010  5 Cu 2.40-2.68, 1 Ga 2.47, 1 Ag 2.57
Cu 0.5853 0.1330 0.5853  4 Cu 2.40-2.59
Ag 0.0000 0.0000 0.0000  6 Cu 2.57



Density functional theory data (PBE-GGA) for a relaxed Pr6Tm2Mg crystal.

Computed properties:
uncorrected energy = -4.319 eV per atom

a b c (Å): 5.7064 8.8822 16.5139
angles (deg): 133.52 90.00 90.00
Closest atoms and distances in Å follow each position.
Fractional coordinates of all 18 atoms:
Pr 0.0000 0.3527 0.8506  2 Mg 3.39, 1 Tm 3.42, 5 Pr 3.56-3.76
Pr 0.4998 0.4540 0.5837  3 Tm 3.35-3.54, 4 Pr 3.38-3.69
Pr 0.5000 0.2800 0.1118  1 Mg 3.49, 3 Tm 3.60-3.74, 7 Pr 3.62-3.86
Pr 0.0000 0.2200 0.3882  1 Mg 3.49, 3 Tm 3.60-3.74, 7 Pr 3.62-3.86
Pr 0.9998 0.0460 0.9163  3 Tm 3.35-3.54, 4 Pr 3.38-3.69
Pr 0.5000 0.1473 0.6494  2 Mg 3.39, 1 Tm 3.42, 5 Pr 3.56-3.76
Pr 0.0000 0.6473 0.1494  2 Mg 3.39, 1 Tm 3.42, 5 Pr 3.56-3.76
Pr 0.5002 0.5460 0.4163  3 Tm 3.35-3.54, 4 Pr 3.38-3.69
Pr 0.5000 0.7200 0.8882  1 Mg 3.49, 3 Tm 3.60-3.74, 7 Pr 3.62-3.86
Pr 0.0000 0.7800 0.6118  1 Mg 3.49, 3 Tm 3.60-3.74, 7 Pr 3.62-3.86
Pr 0.0002 0.9540 0.0837  3 Tm 3.35-3.54, 4 Pr 3.38-3.69
Pr 0.5000 0.8527 0.3506  2 Mg 3.39, 1 Tm 3.42, 5 Pr 3.56-3.76
Tm 0.5002 0.9969 0.2046  1 Mg 3.22, 5 Pr 3.35-3.60
Tm 0.0002 0.5031 0.2954  1 Mg 3.22, 5 Pr 3.35-3.60
Tm 0.9998 0.4969 0.7046  1 Mg 3.22, 5 Pr 3.35-3.60
Tm 0.4998 0.0031 0.7954  1 Mg 3.22, 5 Pr 3.35-3.60
Mg 0.5000 0.5000 0.0000  2 Tm 3.22, 6 Pr 3.39-3.49
Mg 0.0000 0.0000 0.5000  2 Tm 3.22, 6 Pr 3.39-3.49